[1]
An optimized crystal structure of Na12Cd2Pb, computed with PBE.

Values from the calculation:
electronic total energy: -40.2 eV/cell
volume: 37.07 A^3/atom
ΔE_f: 84 meV per atom

Structure (extended XYZ):
```
30
Lattice="6.764 0.000 0.000 0.000 6.764 0.000 0.000 0.000 24.311" Properties=species:S:1:pos:R:3 pbc="T T T"
Na 6.764 0.000 2.129
Na 0.000 6.764 22.182
Na 0.000 3.382 2.129
Na 6.764 3.382 22.182
Na 0.481 3.862 10.544
Na 0.481 6.283 13.767
Na 1.691 1.691 4.749
Na 1.691 1.691 7.898
Na 1.691 1.691 16.414
Na 1.691 1.691 19.562
Na 2.901 3.862 13.767
Na 2.901 6.283 10.544
Na 3.382 6.764 2.129
Na 3.382 0.000 22.182
Na 3.382 3.382 2.129
Na 3.382 3.382 22.182
Na 3.862 0.481 13.767
Na 3.862 2.901 10.544
Na 5.073 5.073 4.749
Na 5.073 5.073 7.898
Na 5.073 5.073 16.414
Na 5.073 5.073 19.562
Na 6.283 0.481 10.544
Na 6.283 2.901 13.767
Cd 1.691 5.073 4.739
Cd 1.691 5.073 19.572
Cd 5.073 1.691 4.739
Cd 5.073 1.691 19.572
Pb 1.691 5.073 0.000
Pb 5.073 1.691 0.000
```


[2]
An optimized crystal structure of Na3CdPb2, computed with PBE.

Values from the calculation:
electronic total energy: -26.1 eV/cell
volume: 27.75 A^3/atom
ΔE_f: -130 meV per atom

Structure (extended XYZ):
```
12
Lattice="8.198 -4.136 0.000 8.198 4.136 0.000 -1.613 0.000 4.910" Properties=species:S:1:pos:R:3 pbc="T T T"
Na 6.988 2.926 3.683
Na 4.439 0.965 2.829
Na 5.246 -0.965 0.374
Na 9.537 0.965 4.537
Na 10.344 -0.965 2.082
Na 7.795 -2.926 1.228
Cd 7.795 0.817 1.228
Cd 6.988 -0.817 3.683
Pb 1.123 1.092 4.465
Pb 1.929 -1.092 2.010
Pb 12.854 1.092 2.900
Pb 13.660 -1.092 0.445
```


[3]
An optimized crystal structure of Na3Cd2Pb3, computed with PBE.

Values from the calculation:
electronic total energy: -17.8 eV/cell
volume: 27.16 A^3/atom
ΔE_f: -114 meV per atom

Structure (extended XYZ):
```
8
Lattice="4.879 0.000 0.000 0.003 4.964 0.000 2.421 2.470 8.972" Properties=species:S:1:pos:R:3 pbc="T T T"
Na 0.000 0.000 0.000
Na 2.425 4.956 6.636
Na 4.877 2.479 2.336
Cd 2.438 2.479 4.524
Cd 4.865 4.956 4.448
Pb 2.436 4.962 2.460
Pb 2.441 2.482 0.000
Pb 4.867 2.473 6.512
```


[4]
An optimized crystal structure of Na2CdPb6, computed with PBE.

Values from the calculation:
electronic total energy: -26.0 eV/cell
volume: 32.43 A^3/atom
ΔE_f: -25 meV per atom

Structure (extended XYZ):
```
9
Lattice="5.975 -3.433 0.000 5.975 3.433 0.000 -0.084 0.000 7.116" Properties=species:S:1:pos:R:3 pbc="T T T"
Na 1.956 0.000 2.554
Na 9.909 0.000 4.562
Cd 5.933 0.000 3.558
Pb 4.920 1.771 1.285
Pb 3.843 0.000 5.779
Pb 6.945 1.771 5.831
Pb 4.920 -1.771 1.285
Pb 8.022 0.000 1.337
Pb 6.945 -1.771 5.831
```


[5]
An optimized crystal structure of Na4CdPb2, computed with PBE.

Values from the calculation:
electronic total energy: -14.0 eV/cell
volume: 28.81 A^3/atom
ΔE_f: -59 meV per atom

Structure (extended XYZ):
```
7
Lattice="2.699 1.558 7.989 -2.699 1.558 7.989 0.000 -3.117 7.989" Properties=species:S:1:pos:R:3 pbc="T T T"
Na 0.000 0.000 1.929
Na 0.000 0.000 8.694
Na 0.000 0.000 15.274
Na 0.000 0.000 22.039
Cd 0.000 0.000 11.984
Pb 0.000 0.000 5.204
Pb 0.000 0.000 18.765
```


[6]
An optimized crystal structure of Na17Cd11Pb, computed with PBE.

Values from the calculation:
electronic total energy: -38.7 eV/cell
volume: 27.89 A^3/atom
ΔE_f: -86 meV per atom

Structure (extended XYZ):
```
29
Lattice="5.871 -8.240 0.000 5.871 8.240 0.000 -5.870 0.000 8.360" Properties=species:S:1:pos:R:3 pbc="T T T"
Na 0.000 0.000 0.000
Na 4.237 -4.871 5.738
Na 1.667 5.664 3.377
Na -3.804 0.000 5.441
Na 3.842 5.373 0.000
Na 1.638 2.603 4.917
Na -0.532 0.000 6.017
Na 4.266 3.373 2.611
Na 2.074 0.000 2.895
Na 0.560 2.313 8.343
Na 4.237 4.871 5.738
Na 1.638 -2.603 4.917
Na 5.312 0.000 2.323
Na 3.842 -5.373 0.000
Na 0.560 -2.313 8.343
Na 1.667 -5.664 3.377
Na 4.266 -3.373 2.611
Cd 1.088 2.974 1.499
Cd -0.984 1.529 3.071
Cd 1.063 5.275 6.819
Cd -2.618 1.476 8.341
Cd -0.984 -1.529 3.071
Cd 1.088 -2.974 1.499
Cd -2.618 -1.476 8.341
Cd 2.712 0.000 6.766
Cd 4.866 1.532 5.290
Cd 1.063 -5.275 6.819
Cd 4.866 -1.532 5.290
Pb 8.490 0.000 1.464
```